1.
An optimized crystal structure of LiHoHgTe3. Source: the Open Quantum Materials Database, functional PBE-GGA.

It has space group Pnma (No. 62), with a = 13.7370 Å, b = 4.3023 Å, c = 12.7389 Å, α = 90.00°, β = 90.00° and γ = 90.00°. The inequivalent atoms are Li at (0.1161, 0.2500, 0.0101), Ho at (0.0600, 0.2500, 0.6757), Hg at (0.2309, 0.2500, 0.2873), Te at (0.0654, 0.7500, 0.8548), Te at (0.0727, 0.2500, 0.4217) and Te at (0.2257, 0.7500, 0.1328).

The relative energy among the computed polymorphs comes out at 6.7 meV per atom.

2.
An optimized crystal structure of LiHoHgTe3. Source: the Open Quantum Materials Database, functional PBE-GGA.

It has space group Cmcm (No. 63), with a = 4.2892 Å, b = 14.6595 Å, c = 11.5456 Å, α = 90.00°, β = 90.00° and γ = 90.00°. The inequivalent atoms are Li at (0.0000, 0.1976, 0.2500), Ho at (0.0000, 0.0000, 0.0000), Hg at (0.0000, 0.4767, 0.7500), Te at (0.0000, 0.1032, 0.7500) and Te at (0.0000, 0.3552, 0.5598).

The relative energy among the computed polymorphs comes out at 0.0 meV per atom.